The following is a PBE calculation of a geometry-optimized LaCeSb2S4Br4 structure, from Alexandria via LeMat-Bulk.

```
LaCeSb2S4Br4
1.0
8.7352 0.0000 0.0000
0.0000 9.3234 0.0000
-4.2861 0.0000 17.6732
La Ce Sb S Br
4 4 8 16 16
Direct
0.1219 0.1292 0.2448
0.1219 0.3708 0.7448
0.8781 0.6292 0.2552
0.8781 0.8708 0.7552
0.3870 0.6335 0.2626
0.3870 0.8665 0.7626
0.6130 0.1335 0.2374
0.6130 0.3665 0.7374
0.2734 0.5417 0.5535
0.2734 0.9583 0.0535
0.2794 0.1591 0.5633
0.2794 0.3409 0.0633
0.7206 0.6591 0.9367
0.7206 0.8409 0.4367
0.7266 0.0417 0.9465
0.7266 0.4583 0.4465
0.0736 0.1504 0.0578
0.0736 0.3496 0.5578
0.3395 0.5640 0.6915
0.3395 0.9360 0.1915
0.3432 0.1674 0.7007
0.3432 0.3326 0.2007
0.4821 0.1501 0.0601
0.4821 0.3499 0.5601
0.5179 0.6501 0.4399
0.5179 0.8499 0.9399
0.6568 0.6674 0.7993
0.6568 0.8326 0.2993
0.6605 0.0640 0.8085
0.6605 0.4360 0.3085
0.9264 0.6504 0.4422
0.9264 0.8496 0.9422
0.0832 0.6262 0.1374
0.0832 0.8738 0.6374
0.1580 0.6759 0.8292
0.1580 0.8241 0.3292
0.1613 0.0588 0.8367
0.1613 0.4412 0.3367
0.4448 0.1250 0.3676
0.4448 0.3750 0.8676
0.5552 0.6250 0.1324
0.5552 0.8750 0.6324
0.8387 0.5588 0.6633
0.8387 0.9412 0.1633
0.8420 0.1759 0.6708
0.8420 0.3241 0.1708
0.9168 0.1262 0.3626
0.9168 0.3738 0.8626
```

## Properties
SG   P2_1/c
Raw formation energy   -15.054 eV/f.u.
Uncorrected energy   -4.780 eV/atom
N(E_F)   30.29 states/eV per cell

---

The following is a PBE calculation of a geometry-optimized La4Ce2Sn3Br2 structure, from Alexandria via LeMat-Bulk.

```
La4Ce2Sn3Br2
1.0
5.3881 0.0000 0.0000
-2.6941 4.6662 0.0000
0.0000 0.0000 13.2504
La Ce Sn Br
4 2 3 2
Direct
0.3333 0.6667 0.3417
0.3333 0.6667 0.8459
0.6667 0.3333 0.1541
0.6667 0.3333 0.6583
0.3333 0.6667 0.6335
0.6667 0.3333 0.3665
0.0000 0.0000 0.2635
0.0000 0.0000 0.5000
0.0000 0.0000 0.7365
0.3333 0.6667 0.0846
0.6667 0.3333 0.9154
```

## Properties
SG   P-3m1
Raw formation energy   -8.203 eV/f.u.
Uncorrected energy   -5.012 eV/atom
N(E_F)   10.65 states/eV per cell

---

The following is a PBE calculation of a geometry-optimized LaCeTeBr structure, from Alexandria via LeMat-Bulk.

```
LaCeTeBr
1.0
7.6705 0.0000 0.0000
0.0000 7.6705 0.0000
0.0000 0.0000 7.6705
La Ce Te Br
4 4 4 4
Direct
0.0000 0.0000 0.0000
0.0000 0.5000 0.5000
0.5000 0.0000 0.5000
0.5000 0.5000 0.0000
0.0000 0.0000 0.5000
0.0000 0.5000 0.0000
0.5000 0.0000 0.0000
0.5000 0.5000 0.5000
0.2500 0.2500 0.7500
0.2500 0.7500 0.2500
0.7500 0.2500 0.2500
0.7500 0.7500 0.7500
0.2500 0.2500 0.2500
0.2500 0.7500 0.7500
0.7500 0.2500 0.7500
0.7500 0.7500 0.2500
```

## Properties
SG   F-43m
Raw formation energy   -4.839 eV/f.u.
Uncorrected energy   -5.129 eV/atom
N(E_F)   39.68 states/eV per cell

---

The following is a PBE calculation of a geometry-optimized LiCe2Br8 structure, from Alexandria via LeMat-Bulk.

```
LiCe2Br8
1.0
7.4452 -4.3745 0.0000
7.4452 4.3745 0.0000
-0.6731 0.0000 5.7149
Li Ce Br
1 2 8
Direct
0.0000 0.0000 0.0000
0.2789 0.2789 0.9184
0.7211 0.7211 0.0816
0.0904 0.6576 0.1321
0.2134 0.2134 0.3950
0.3424 0.9096 0.8679
0.4312 0.4312 0.7143
0.5688 0.5688 0.2857
0.6576 0.0904 0.1321
0.7866 0.7866 0.6050
0.9096 0.3424 0.8679
```

## Properties
SG   C2/m
Raw formation energy   -17.184 eV/f.u.
ΔE to the lowest computed polymorph   85 meV per atom
Uncorrected energy   -4.032 eV/atom
N(E_F)   9.42 states/eV per cell

---

The following is a PBE calculation of a geometry-optimized Li3CeBr8 structure, from Alexandria via LeMat-Bulk.

```
Li3CeBr8
1.0
6.8342 -4.0706 0.0000
6.8342 4.0706 0.0000
-4.4939 0.0000 6.6726
Li Ce Br
3 1 8
Direct
0.0000 0.0000 0.0000
0.0000 0.5000 0.5000
0.5000 0.0000 0.5000
0.5000 0.5000 0.0000
0.2300 0.2300 0.2734
0.2517 0.7473 0.7572
0.2533 0.2533 0.7480
0.2527 0.7483 0.2428
0.7473 0.2517 0.7572
0.7467 0.7467 0.2520
0.7483 0.2527 0.2428
0.7700 0.7700 0.7266
```

## Properties
SG   C2/m
Raw formation energy   -15.990 eV/f.u.
Uncorrected energy   -3.421 eV/atom
N(E_F)   9.19 states/eV per cell

---

The following is a PBE calculation of a geometry-optimized Li3CeBr6 structure, from Alexandria via LeMat-Bulk.

```
Li3CeBr6
1.0
7.9096 0.0000 0.0000
3.7762 6.9772 0.0000
3.7758 2.2556 6.6048
Li Ce Br
3 1 6
Direct
0.0000 0.0000 0.0000
0.0000 0.0000 0.5000
0.0000 0.5000 0.0000
0.5000 0.5000 0.5000
0.2209 0.2693 0.7770
0.2238 0.7802 0.2666
0.2271 0.7582 0.7584
0.7729 0.2418 0.2416
0.7762 0.2198 0.7334
0.7791 0.7307 0.2230
```

## Properties
SG   P-1
Raw formation energy   -15.704 eV/f.u.
ΔE to the lowest computed polymorph   0 meV per atom
Uncorrected energy   -3.742 eV/atom
N(E_F)   8.12 states/eV per cell

---

The following is a PBE calculation of a geometry-optimized LiCeBr5 structure, from Alexandria via LeMat-Bulk.

```
LiCeBr5
1.0
5.4978 -5.2026 0.0000
5.4978 5.2026 0.0000
-5.0831 0.0000 9.4191
Li Ce Br
2 2 10
Direct
0.1303 0.8697 0.7500
0.8697 0.1303 0.2500
0.0000 0.5000 0.0000
0.5000 0.0000 0.5000
0.1657 0.1767 0.4673
0.1708 0.5844 0.8350
0.1767 0.1657 0.9673
0.3262 0.6738 0.2500
0.4156 0.8292 0.6650
0.5844 0.1708 0.3350
0.6738 0.3262 0.7500
0.8233 0.8343 0.0327
0.8292 0.4156 0.1650
0.8343 0.8233 0.5327
```

## Properties
SG   C2/c
Raw formation energy   -10.688 eV/f.u.
Uncorrected energy   -3.843 eV/atom

---

The following is a PBE calculation of a geometry-optimized LiCeBr2 structure, from Alexandria via LeMat-Bulk.

```
LiCeBr2
1.0
3.8366 0.0000 0.0000
-1.9183 3.3226 0.0000
0.0000 0.0000 27.7059
Li Ce Br
3 3 6
Direct
0.0000 0.0000 0.0000
0.3333 0.6667 0.6667
0.6667 0.3333 0.3333
0.0000 0.0000 0.5000
0.3333 0.6667 0.1667
0.6667 0.3333 0.8333
0.0000 0.0000 0.0906
0.0000 0.0000 0.9094
0.3333 0.6667 0.5760
0.3333 0.6667 0.7573
0.6667 0.3333 0.2427
0.6667 0.3333 0.4240
```

## Properties
SG   R-3m
Raw formation energy   -4.528 eV/f.u.
Uncorrected energy   -3.930 eV/atom
N(E_F)   14.82 states/eV per cell

---

The following is a PBE calculation of a geometry-optimized LiCe2Br8 structure, from Alexandria via LeMat-Bulk.

```
LiCe2Br8
1.0
10.0674 -1.9842 0.0000
10.0674 1.9842 0.0000
-0.3392 0.0000 9.4938
Li Ce Br
1 2 8
Direct
0.0000 0.0000 0.0000
0.3542 0.3542 0.7340
0.6458 0.6458 0.2660
0.0988 0.0988 0.4621
0.1366 0.1366 0.0322
0.2548 0.2548 0.3057
0.4942 0.4942 0.8034
0.5058 0.5058 0.1966
0.7452 0.7452 0.6943
0.8634 0.8634 0.9678
0.9012 0.9012 0.5379
```

## Properties
SG   C2/m
Raw formation energy   -18.114 eV/f.u.
ΔE to the lowest computed polymorph   0 meV per atom
Uncorrected energy   -4.116 eV/atom
N(E_F)   8.24 states/eV per cell

---

The following is a PBE calculation of a geometry-optimized Li3CeBr6 structure, from Alexandria via LeMat-Bulk.

```
Li3CeBr6
1.0
4.5562 -6.9269 0.0000
4.5562 6.9269 0.0000
0.0000 0.0000 4.6196
Li Ce Br
3 1 6
Direct
0.0000 0.0000 0.0000
0.0000 0.5000 0.5000
0.5000 0.0000 0.5000
0.5000 0.5000 0.0000
0.0832 0.3331 0.0000
0.3331 0.0832 0.0000
0.3585 0.6415 0.5000
0.6415 0.3585 0.5000
0.6669 0.9168 0.0000
0.9168 0.6669 0.0000
```

## Properties
SG   Cmmm
Raw formation energy   -15.311 eV/f.u.
ΔE to the lowest computed polymorph   39 meV per atom
Uncorrected energy   -3.702 eV/atom
N(E_F)   7.97 states/eV per cell

---

The following is a PBE calculation of a geometry-optimized Li2Ce2Br7 structure, from Alexandria via LeMat-Bulk.

```
Li2Ce2Br7
1.0
4.6080 -6.0043 0.0000
4.6080 6.0043 0.0000
-1.3651 0.0000 7.2923
Li Ce Br
2 2 7
Direct
0.2319 0.2319 0.4068
0.7681 0.7681 0.5932
0.3162 0.6838 0.0000
0.6838 0.3162 0.0000
0.0000 0.0000 0.5000
0.0676 0.4281 0.2189
0.4070 0.4070 0.7341
0.4281 0.0676 0.2189
0.5719 0.9324 0.7811
0.5930 0.5930 0.2659
0.9324 0.5719 0.7811
```

## Properties
SG   C2/m
Raw formation energy   -17.420 eV/f.u.
Uncorrected energy   -4.075 eV/atom
N(E_F)   17.62 states/eV per cell

---

The following is a PBE calculation of a geometry-optimized LiCe2Br6 structure, from Alexandria via LeMat-Bulk.

```
LiCe2Br6
1.0
6.9705 0.0000 0.0000
0.0000 6.9705 0.0000
0.0000 0.0000 12.8517
Li Ce Br
2 4 12
Direct
0.0000 0.0000 0.0000
0.5000 0.5000 0.5000
0.0000 0.0000 0.3401
0.0000 0.0000 0.6599
0.5000 0.5000 0.1599
0.5000 0.5000 0.8401
0.1942 0.1942 0.1589
0.1942 0.1942 0.8411
0.2162 0.2162 0.5000
0.2838 0.7162 0.0000
0.3058 0.6942 0.3411
0.3058 0.6942 0.6589
0.6942 0.3058 0.3411
0.6942 0.3058 0.6589
0.7162 0.2838 0.0000
0.7838 0.7838 0.5000
0.8058 0.8058 0.1589
0.8058 0.8058 0.8411
```

## Properties
SG   P4_2/mnm
Raw formation energy   -14.910 eV/f.u.
ΔE to the lowest computed polymorph   18 meV per atom
Uncorrected energy   -4.303 eV/atom
N(E_F)   31.49 states/eV per cell

---

The following is a PBE calculation of a geometry-optimized Li3CeBr7 structure, from Alexandria via LeMat-Bulk.

```
Li3CeBr7
1.0
6.2142 -4.1602 0.0000
6.2142 4.1602 0.0000
-5.4717 0.0000 6.5593
Li Ce Br
3 1 7
Direct
0.0000 0.0000 0.0000
0.1059 0.6436 0.4161
0.6436 0.1059 0.4161
0.4031 0.4031 0.9984
0.1108 0.1108 0.6952
0.1476 0.6286 0.7412
0.2125 0.7725 0.2393
0.2727 0.2727 0.2280
0.6286 0.1476 0.7412
0.7014 0.7014 0.1981
0.7725 0.2125 0.2393
```

## Properties
SG   Cm
Raw formation energy   -16.514 eV/f.u.
Uncorrected energy   -3.627 eV/atom

---

The following is a PBE calculation of a geometry-optimized LiCe2Br6 structure, from Alexandria via LeMat-Bulk.

```
LiCe2Br6
1.0
7.2883 -1.9697 0.0000
7.2883 1.9697 0.0000
-5.3860 0.0000 10.8055
Li Ce Br
1 2 6
Direct
0.0000 0.0000 0.0000
0.3154 0.3154 0.7011
0.6846 0.6846 0.2989
0.0088 0.0088 0.2236
0.1996 0.1996 0.1156
0.3470 0.3470 0.4639
0.6530 0.6530 0.5361
0.8004 0.8004 0.8844
0.9912 0.9912 0.7764
```

## Properties
SG   C2/m
Raw formation energy   -15.072 eV/f.u.
ΔE to the lowest computed polymorph   0 meV per atom
Uncorrected energy   -4.321 eV/atom
N(E_F)   11.33 states/eV per cell

---

The following is a PBE calculation of a geometry-optimized Na2LiCeBr6 structure, from Alexandria via LeMat-Bulk.

```
Na2LiCeBr6
1.0
7.1974 0.0000 0.0000
0.0000 7.6426 0.0000
-6.7829 0.0000 10.9249
Na Li Ce Br
4 2 2 12
Direct
0.1997 0.0867 0.2375
0.1997 0.4133 0.7375
0.8003 0.5867 0.2625
0.8003 0.9133 0.7625
0.0000 0.0000 0.5000
0.0000 0.5000 0.0000
0.5000 0.0000 0.0000
0.5000 0.5000 0.5000
0.1053 0.1972 0.9310
0.1053 0.3028 0.4310
0.2319 0.6828 0.9239
0.2319 0.8172 0.4239
0.3941 0.0562 0.7492
0.3941 0.4438 0.2492
0.6059 0.5562 0.7508
0.6059 0.9438 0.2508
0.7681 0.1828 0.5761
0.7681 0.3172 0.0761
0.8947 0.6972 0.5690
0.8947 0.8028 0.0690
```

## Properties
SG   P2_1/c
Raw formation energy   -16.280 eV/f.u.
Uncorrected energy   -3.680 eV/atom
N(E_F)   16.26 states/eV per cell

---

The following is a PBE calculation of a geometry-optimized NaLi2CeBr6 structure, from Alexandria via LeMat-Bulk.

```
NaLi2CeBr6
1.0
3.6003 2.0786 6.5493
-3.6003 2.0786 6.5493
0.0000 -4.1573 6.5493
Na Li Ce Br
1 2 1 6
Direct
0.0000 0.0000 0.0000
0.2980 0.2980 0.2980
0.8006 0.8006 0.8006
0.4931 0.4931 0.4931
0.0705 0.6832 0.4318
0.1961 0.5697 0.9179
0.4318 0.0705 0.6832
0.5697 0.9179 0.1961
0.6832 0.4318 0.0705
0.9179 0.1961 0.5697
```

## Properties
SG   R3
Raw formation energy   -16.286 eV/f.u.
Uncorrected energy   -3.740 eV/atom
N(E_F)   8.28 states/eV per cell

---

The following is a PBE calculation of a geometry-optimized LiCeBrO2 structure, from Alexandria via LeMat-Bulk.

```
LiCeBrO2
1.0
6.3507 0.0000 0.0000
0.0000 3.5883 0.0000
-2.0817 0.0000 7.4847
Li Ce Br O
2 2 2 4
Direct
0.1972 0.2500 0.2270
0.8028 0.7500 0.7730
0.3016 0.2500 0.8219
0.6984 0.7500 0.1781
0.2369 0.7500 0.4615
0.7631 0.2500 0.5385
0.1199 0.7500 0.8560
0.4459 0.2500 0.1211
0.5541 0.7500 0.8789
0.8801 0.2500 0.1440
```

## Properties
SG   P2_1/m
Raw formation energy   -12.640 eV/f.u.
Uncorrected energy   -6.415 eV/atom

---

The following is a PBE calculation of a geometry-optimized Li2CePbBr8 structure, from Alexandria via LeMat-Bulk.

```
Li2CePbBr8
1.0
7.0278 0.0000 0.0000
1.4769 7.1259 0.0000
0.0167 2.7099 8.4842
Li Ce Pb Br
2 1 1 8
Direct
0.0413 0.1447 0.3282
0.9587 0.8553 0.6718
0.5000 0.5000 0.0000
0.5000 0.5000 0.5000
0.1054 0.7718 0.4370
0.1374 0.7510 0.9444
0.3775 0.2806 0.8233
0.3798 0.2632 0.2899
0.6202 0.7368 0.7101
0.6225 0.7194 0.1767
0.8626 0.2490 0.0556
0.8946 0.2282 0.5630
```

## Properties
SG   P-1
Raw formation energy   -16.549 eV/f.u.
Uncorrected energy   -3.617 eV/atom

---

The following is a PBE calculation of a geometry-optimized LiCePbBr6 structure, from Alexandria via LeMat-Bulk.

```
LiCePbBr6
1.0
7.2593 0.0000 0.0000
-3.6296 6.2867 0.0000
0.0000 0.0000 13.3558
Li Ce Pb Br
2 2 2 12
Direct
0.3333 0.6667 0.2500
0.6667 0.3333 0.7500
0.3333 0.6667 0.7500
0.6667 0.3333 0.2500
0.0000 0.0000 0.0000
0.0000 0.0000 0.5000
0.0146 0.3577 0.1294
0.0146 0.6569 0.3706
0.3431 0.3577 0.3706
0.3431 0.9854 0.1294
0.3577 0.0146 0.6294
0.3577 0.3431 0.8706
0.6423 0.6569 0.1294
0.6423 0.9854 0.3706
0.6569 0.0146 0.8706
0.6569 0.6423 0.6294
0.9854 0.3431 0.6294
0.9854 0.6423 0.8706
```

## Properties
SG   P-31c
Raw formation energy   -12.848 eV/f.u.
Uncorrected energy   -3.827 eV/atom
N(E_F)   16.29 states/eV per cell